Entry 1:
The following is a GGA-PBE calculation of crystalline Na3Fe2Se4 at its relaxed geometry, from OQMD via LeMat-Bulk.

Values from the calculation:
For the calculated density, the calculation gives 4.0 g cm⁻³. The calculation puts the electronic total energy at -162.09 eV per cell.

Geometry as extended XYZ:
```
36
Lattice="6.853 0.000 0.000 0.000 10.742 0.000 0.000 0.000 11.155" Properties=species:S:1:pos:R:3 pbc="T T T"
Na 0.435 0.817 1.540
Na 0.435 4.554 1.540
Na 0.536 2.685 8.380
Na 2.891 8.056 2.803
Na 2.992 6.188 7.117
Na 2.992 9.925 7.117
Na 3.861 0.817 4.038
Na 3.861 4.554 4.038
Na 3.962 2.685 8.352
Na 6.317 8.056 2.775
Na 6.419 6.188 9.615
Na 6.419 9.925 9.615
Fe 0.354 1.367 5.257
Fe 0.354 4.004 5.257
Fe 3.073 6.738 10.835
Fe 3.073 9.375 10.835
Fe 3.780 1.367 0.320
Fe 3.780 4.004 0.320
Fe 6.500 6.738 5.898
Fe 6.500 9.375 5.898
Se 0.762 8.056 7.528
Se 1.196 5.984 4.206
Se 1.196 10.129 4.206
Se 1.198 8.056 0.419
Se 2.229 2.685 5.997
Se 2.231 0.613 9.784
Se 2.231 4.758 9.784
Se 2.665 2.685 1.951
Se 4.188 8.056 9.204
Se 4.622 5.984 1.371
Se 4.622 10.129 1.371
Se 4.625 8.056 5.158
Se 5.655 2.685 10.736
Se 5.658 0.613 6.949
Se 5.658 4.758 6.949
Se 6.092 2.685 3.627
```


Entry 2:
The following is a GGA-PBE calculation of crystalline Tm2Fe15Si2 at its relaxed geometry, from OQMD via LeMat-Bulk.

Values from the calculation:
For the calculated density, the calculation gives 8.4 g cm⁻³. The calculation puts the electronic total energy at -292.77 eV per cell.

Geometry as extended XYZ:
```
38
Lattice="8.241 0.000 0.000 -4.120 7.137 0.000 0.000 0.000 8.289" Properties=species:S:1:pos:R:3 pbc="T T T"
Tm 0.000 0.000 2.072
Tm 0.000 0.000 6.217
Tm 0.000 4.758 2.072
Tm 4.120 2.379 6.217
Fe -2.060 3.568 0.000
Fe -2.060 3.568 4.144
Fe -1.233 2.581 6.217
Fe -2.502 4.778 6.217
Fe 0.000 2.375 0.097
Fe 0.000 2.375 4.047
Fe -2.064 5.950 0.097
Fe -2.064 5.950 4.047
Fe 1.233 2.581 6.217
Fe -1.269 6.914 6.217
Fe 2.056 1.187 4.242
Fe 2.056 1.187 8.191
Fe 2.852 0.223 2.072
Fe 1.619 2.358 2.072
Fe 4.120 0.000 0.000
Fe 4.120 0.000 4.144
Fe 2.060 3.568 0.000
Fe 2.060 3.568 4.144
Fe 2.502 4.778 6.217
Fe 1.269 6.914 6.217
Fe 2.064 5.950 0.097
Fe 2.064 5.950 4.047
Fe 5.389 0.223 2.072
Fe 2.887 4.556 2.072
Fe 6.184 1.187 4.242
Fe 6.184 1.187 8.191
Fe 4.120 4.762 4.242
Fe 4.120 4.762 8.191
Fe 6.622 2.358 2.072
Fe 5.354 4.556 2.072
Si 0.000 4.758 4.991
Si 0.000 4.758 7.442
Si 4.120 2.379 0.847
Si 4.120 2.379 3.298
```


Entry 3:
The following is a GGA-PBE calculation of crystalline TcMoOs at its relaxed geometry, from OQMD via LeMat-Bulk.

Values from the calculation:
For the calculated density, the calculation gives 12.1 g cm⁻³. The calculation puts the electronic total energy at -122.13 eV per cell. For the formation energy, the calculation gives 0.634 eV/atom.

Geometry as extended XYZ:
```
12
Lattice="5.957 0.000 0.000 0.000 5.957 0.000 0.000 0.000 5.957" Properties=species:S:1:pos:R:3 pbc="T T T"
Tc 0.000 0.000 0.000
Tc 0.000 2.979 2.979
Tc 2.979 0.000 2.979
Tc 2.979 2.979 0.000
Mo 0.000 0.000 2.979
Mo 0.000 2.979 0.000
Mo 2.979 0.000 0.000
Mo 2.979 2.979 2.979
Os 1.489 1.489 4.468
Os 1.489 4.468 1.489
Os 4.468 1.489 1.489
Os 4.468 4.468 4.468
```


Entry 4:
The following is a GGA-PBE calculation of crystalline TaInCuRe at its relaxed geometry, from OQMD via LeMat-Bulk.

Values from the calculation:
For the calculated density, the calculation gives 13.7 g cm⁻³. The calculation puts the electronic total energy at -118.93 eV per cell.

Geometry as extended XYZ:
```
16
Lattice="6.413 0.000 0.000 0.000 6.413 0.000 0.000 0.000 6.413" Properties=species:S:1:pos:R:3 pbc="T T T"
Ta 0.000 0.000 0.000
Ta 0.000 3.207 3.207
Ta 3.207 0.000 3.207
Ta 3.207 3.207 0.000
In 0.000 0.000 3.207
In 0.000 3.207 0.000
In 3.207 0.000 0.000
In 3.207 3.207 3.207
Cu 1.603 1.603 4.810
Cu 1.603 4.810 1.603
Cu 4.810 1.603 1.603
Cu 4.810 4.810 4.810
Re 1.603 1.603 1.603
Re 1.603 4.810 4.810
Re 4.810 1.603 4.810
Re 4.810 4.810 1.603
```


Entry 5:
The following is a GGA-PBE calculation of crystalline Nb2B2P at its relaxed geometry, from OQMD via LeMat-Bulk.

Values from the calculation:
For the calculated density, the calculation gives 6.7 g cm⁻³. The calculation puts the electronic total energy at -83.08 eV per cell.

Geometry as extended XYZ:
```
10
Lattice="3.121 0.000 0.000 0.000 11.616 0.000 0.000 0.000 3.256" Properties=species:S:1:pos:R:3 pbc="T T T"
Nb 0.000 1.528 0.000
Nb 0.000 10.088 0.000
Nb 1.561 4.280 0.000
Nb 1.561 7.336 0.000
B 0.000 3.277 1.628
B 0.000 8.340 1.628
B 1.561 2.532 1.628
B 1.561 9.085 1.628
P 0.000 5.808 1.628
P 1.561 0.000 1.628
```


Entry 6:
The following is a GGA-PBE calculation of crystalline Pa3Zn4 at its relaxed geometry, from OQMD via LeMat-Bulk.

Values from the calculation:
For the calculated density, the calculation gives 11.8 g cm⁻³. The calculation puts the electronic total energy at -66.26 eV per cell. For the formation energy, the calculation gives 0.059 eV/atom.

Geometry as extended XYZ:
```
14
Lattice="4.418 -7.652 0.000 4.418 7.652 0.000 0.000 0.000 3.984" Properties=species:S:1:pos:R:3 pbc="T T T"
Pa 4.418 5.511 2.988
Pa 1.862 1.070 2.988
Pa 1.862 -1.070 0.996
Pa 6.974 1.070 2.988
Pa 6.974 -1.070 0.996
Pa 4.418 -5.511 0.996
Zn 2.932 3.412 0.996
Zn 4.418 2.554 2.988
Zn 4.418 0.840 0.996
Zn 5.905 3.412 0.996
Zn 2.932 -3.412 2.988
Zn 4.418 -0.840 2.988
Zn 4.418 -2.554 0.996
Zn 5.905 -3.412 2.988
```